# PmTm2Bi4

A relaxed PmTm2Bi4 crystal (PBE-GGA, Alexandria via LeMat-Bulk).

Computed properties:
As for the calculated total energy: -4.761 eV per atom. The density of states at the Fermi level is 12.120 states/eV per cell. As for the total magnetization: 0.0 μB/f.u. Its crystal system is orthorhombic.

abc: 4.5119 11.4030 16.9748
angles: 90.00 90.00 90.00
Space group Cmcm (No. 63)
Inequivalent atoms, fractional coordinates:
Pm  0.0000  0.0584  0.2500 x4
Tm  0.0000  0.3417  0.0742 x8
Bi  0.0000  0.0000  0.0000 x4
Bi  0.0000  0.3463  0.6191 x8
Bi  0.0000  0.3494  0.2500 x4